Compound: Ba5Mg
Source: the Alexandria database
Functional: GGA-PBE
Structure: relaxed

It has space group Cm (No. 8), with a = 15.1695 Å, b = 4.4755 Å, c = 10.7531 Å, α = 90.00°, β = 112.45° and γ = 90.00°. Symmetry generates all atoms from Ba at (0.0000, 0.0000, 0.0000), Ba at (0.0303, 0.0000, 0.4217), Ba at (0.1654, 0.5000, 0.7863), Ba at (0.3008, 0.0000, 0.1510), Ba at (0.3318, 0.0000, 0.5743) and Mg at (0.1661, 0.5000, 0.2872).

For the energy of formation, the calculation gives 0.01 eV/atom. For the total energy, the calculation gives -1.86 eV per atom. As for the distance to the lowest polymorph of the same formula: 0.009 eV/atom.